A plane-wave DFT calculation with PBE-GGA was carried out for a relaxed Tl2Cr2SnS6 crystal. Values from VASP.

* uncorrected energy: -5.3538 eV/atom
* space group: C2/m

```
&SYSTEM
  ibrav = 0, nat = 11, ntyp = 4
/
ATOMIC_SPECIES
Tl 204.38 Tl.upf
Cr 52.00 Cr.upf
Sn 118.71 Sn.upf
S 32.06 S.upf
ATOMIC_POSITIONS angstrom
Tl 3.135 3.698 0.000
Tl 3.135 -3.698 0.000
Cr 2.154 1.832 3.768
Cr 2.154 -1.832 3.768
Sn -0.981 0.000 3.768
S 0.121 1.921 5.105
S 1.225 0.000 2.439
S 0.121 -1.921 5.105
S 4.187 1.921 2.431
S 3.083 0.000 5.098
S 4.187 -1.921 2.431
CELL_PARAMETERS angstrom
3.135 -5.465 0.000
3.135 5.465 0.000
-1.961 0.000 7.536
```